## PrPa2Sb3 (PBE-GGA)

Data for a relaxed PrPa2Sb3 crystal.

Summary:
Raw formation energy, eV/atom: -0.673
Space group: No. 14
Density of states at the Fermi level, states/eV/f.u.: 10.16

abc: 6.252 13.283 8.850
angles: 90.00 90.00 90.00
Fractional positions:
Pr (0.250, 0.079, 0.124)
Pr (0.250, 0.421, 0.624)
Pr (0.750, 0.579, 0.376)
Pr (0.750, 0.921, 0.876)
Pa (0.250, 0.085, 0.624)
Pa (0.250, 0.415, 0.124)
Pa (0.251, 0.745, 0.624)
Pa (0.251, 0.755, 0.124)
Pa (0.749, 0.245, 0.876)
Pa (0.749, 0.255, 0.376)
Pa (0.750, 0.585, 0.876)
Pa (0.750, 0.915, 0.376)
Sb (0.249, 0.249, 0.874)
Sb (0.249, 0.251, 0.374)
Sb (0.250, 0.586, 0.882)
Sb (0.250, 0.587, 0.366)
Sb (0.250, 0.913, 0.866)
Sb (0.250, 0.914, 0.382)
Sb (0.750, 0.086, 0.618)
Sb (0.750, 0.087, 0.134)
Sb (0.750, 0.413, 0.634)
Sb (0.750, 0.414, 0.118)
Sb (0.751, 0.749, 0.626)
Sb (0.751, 0.751, 0.126)